(1)
# Ac2Dy3Ho7

A relaxed Ac2Dy3Ho7 crystal (PBE, Alexandria).

* calculated volume: 33.4 A^3/atom
* size of the total moment: 0.0 μB per formula unit
* calculated formation energy: 0.12 eV per atom

Cell lengths 3.575, 6.384, 18.131 Å; angles 75.91, 90.00, 90.00 degrees
Positions (direct):
Dy: 0.500 0.500 0.000
Dy: 0.000 0.110 0.342
Dy: 0.000 0.890 0.658
Ho: 0.000 0.000 0.000
Ho: 0.000 0.561 0.158
Ho: 0.500 0.068 0.163
Ho: 0.500 0.760 0.499
Ho: 0.500 0.932 0.837
Ho: 0.000 0.439 0.842
Ho: 0.500 0.240 0.501
Ac: 0.500 0.384 0.675
Ac: 0.500 0.616 0.325

(2)
# AcDy6Ho

A relaxed AcDy6Ho crystal (PBE, Alexandria).

* calculated volume: 32.8 A^3/atom
* size of the total moment: 0.0 μB per formula unit
* energy above the most stable polymorph in this dataset: 0.000 eV/atom
* calculated formation energy: 0.04 eV per atom

Cell lengths 5.084, 5.084, 10.161 Å; angles 90.00, 90.00, 90.00 degrees
Positions (direct):
Dy: 0.000 0.500 0.259
Dy: 0.500 0.000 0.741
Dy: 0.000 0.500 0.741
Dy: 0.500 0.500 0.500
Dy: 0.500 0.500 0.000
Dy: 0.500 0.000 0.259
Ac: 0.000 0.000 0.000
Ho: 0.000 0.000 0.500

(3)
# Ac2Dy3Ho8

A relaxed Ac2Dy3Ho8 crystal (PBE, Alexandria).

* calculated volume: 35.2 A^3/atom
* size of the total moment: 0.0 μB per formula unit
* calculated formation energy: 0.24 eV per atom

Cell lengths 5.452, 11.503, 11.503 Å; angles 39.33, 90.01, 90.01 degrees
Positions (direct):
Ho: 0.000 0.652 0.652
Ho: 0.000 0.118 0.118
Ho: 0.500 0.390 0.815
Ho: 0.500 0.610 0.185
Ho: 0.000 0.882 0.882
Ho: 0.500 0.815 0.390
Ho: 0.000 0.348 0.348
Ho: 0.500 0.185 0.610
Dy: 0.000 0.293 0.707
Dy: 0.000 0.707 0.293
Dy: 0.500 0.000 0.000
Ac: 0.500 0.761 0.761
Ac: 0.500 0.239 0.239

(4)
# Ac2Dy5Ho

A relaxed Ac2Dy5Ho crystal (PBE, Alexandria).

* calculated volume: 34.4 A^3/atom
* size of the total moment: 0.0 μB per formula unit
* calculated formation energy: 0.06 eV per atom

Cell lengths 5.218, 5.218, 10.763 Å; angles 104.03, 104.03, 90.00 degrees
Positions (direct):
Ho: 0.000 0.000 0.000
Dy: 0.882 0.382 0.764
Dy: 0.618 0.118 0.236
Dy: 0.118 0.618 0.236
Dy: 0.500 0.500 0.000
Dy: 0.382 0.882 0.764
Ac: 0.750 0.750 0.500
Ac: 0.250 0.250 0.500